{
  "formula": "DyEr2ScN4",
  "functional": "PBE-GGA",
  "state": "relaxed",
  "dos_at_fermi_per_ev_cell": 0.23,
  "e_form_raw_ev_per_atom": -1.758,
  "total_energy_ev_per_atom": -8.43,
  "lattice": [[5.8638, 0.0000, 0.0000], [0.0000, 3.3899, 0.0000], [-1.9495, 0.0000, 5.5303]],
  "species": ["Dy", "Er", "Er", "Sc", "N", "N", "N", "N"],
  "fractional_positions": [[0.0000, 0.0000, 0.0000], [0.5000, 0.0000, 0.5000], [0.5000, 0.5000, 0.0000], [0.0000, 0.5000, 0.5000], [0.2441, 0.0000, 0.7423], [0.2483, 0.5000, 0.2555], [0.7517, 0.5000, 0.7445], [0.7559, 0.0000, 0.2577]]
}